# 1
Below is a relaxed Cs2Pa3TlSe8 crystal, with properties calculated at the GGA-PBE level.

Properties
total magnetization: 2.03 μB per formula unit
energy relative to the elements, uncorrected: -1.267 eV per atom

```
data_Cs2Pa3TlSe8
_chemical_formula_sum 'Cs6 Pa9 Tl3 Se24'
_cell_length_a 8.5355
_cell_length_b 8.5355
_cell_length_c 26.3849
_cell_angle_alpha 90.00
_cell_angle_beta 90.00
_cell_angle_gamma 120.00
_symmetry_space_group_name_H-M 'R 3 m'
_symmetry_Int_Tables_number 160
_symmetry_space_group_name_Hall 'R 3 -2"'
loop_
_atom_site_label
_atom_site_fract_x
_atom_site_fract_y
_atom_site_fract_z
Cs1 0.0000 0.0000 0.0000
Cs2 0.0000 0.0000 0.3583
Pa1 0.0003 0.5002 0.4984
Tl1 0.0000 0.0000 0.6131
Se1 0.0000 0.0000 0.2234
Se2 0.0000 0.0000 0.7738
Se3 0.0279 0.5139 0.7754
Se4 0.1796 0.3592 0.5573
```

***

# 2
Below is a relaxed CaLaYAg crystal, with properties calculated at the GGA-PBE level.

Properties
ΔE_f: -0.132 eV per atom
total magnetization: 0.00 μB per formula unit

```
data_CaLaYAg
_chemical_formula_sum 'Ca1 La1 Y1 Ag1'
_cell_length_a 3.6750
_cell_length_b 3.6750
_cell_length_c 9.2172
_cell_angle_alpha 90.00
_cell_angle_beta 90.00
_cell_angle_gamma 90.00
_symmetry_space_group_name_H-M 'P 4 m m'
_symmetry_Int_Tables_number 99
_symmetry_space_group_name_Hall 'P 4 -2'
loop_
_atom_site_label
_atom_site_fract_x
_atom_site_fract_y
_atom_site_fract_z
Ca1 0.0000 0.0000 0.0000
La1 0.5000 0.5000 0.3258
Y1 0.0000 0.0000 0.6044
Ag1 0.5000 0.5000 0.7914
```

***

# 3
Below is a relaxed MnVNi6 crystal, with properties calculated at the GGA-PBE level.

Properties
energy above the lowest structure with this stoichiometry: 370 meV/atom
ΔE_f: 0.189 eV per atom
total magnetization: 3.24 μB per formula unit

```
data_MnVNi6
_chemical_formula_sum 'Mn2 V2 Ni12'
_cell_length_a 7.0579
_cell_length_b 4.7546
_cell_length_c 6.3647
_cell_angle_alpha 90.00
_cell_angle_beta 107.92
_cell_angle_gamma 90.00
_symmetry_space_group_name_H-M 'C 1 2/m 1'
_symmetry_Int_Tables_number 12
_symmetry_space_group_name_Hall '-C 2y'
loop_
_atom_site_label
_atom_site_fract_x
_atom_site_fract_y
_atom_site_fract_z
Mn1 0.0000 0.0000 0.0000
V1 0.0000 0.5000 0.5000
Ni1 0.1355 0.5000 0.9300
Ni2 0.2044 0.2605 0.3029
```

***

# 4
Below is a relaxed NbC crystal, with properties calculated at the GGA-PBE level.

Properties
energy above the lowest structure with this stoichiometry: 903 meV/atom
ΔE_f: 0.431 eV per atom
total magnetization: 0.00 μB per formula unit

```
data_NbC
_chemical_formula_sum 'Nb1 C1'
_cell_length_a 2.8061
_cell_length_b 2.8061
_cell_length_c 2.8061
_cell_angle_alpha 90.00
_cell_angle_beta 90.00
_cell_angle_gamma 90.00
_symmetry_space_group_name_H-M 'P m -3 m'
_symmetry_Int_Tables_number 221
_symmetry_space_group_name_Hall '-P 4 2 3'
loop_
_atom_site_label
_atom_site_fract_x
_atom_site_fract_y
_atom_site_fract_z
Nb1 0.0000 0.0000 0.0000
C1 0.5000 0.5000 0.5000
```